Entry 1:
La4HIr2 | PBE | relaxed

Unit cell a=14.2846 b=8.2500 c=14.3177 alpha=90.00 beta=109.44 gamma=90.00
Space group C2/c (No. 15)
One atom of each set of equivalent atoms:
La  0.1210  0.2499  0.1235 [8 per cell]
La  0.1237  0.0052  0.3766 [8 per cell]
La  0.1237  0.2501  0.6208 [8 per cell]
La  0.1236  0.4943  0.3764 [8 per cell]
H  0.1872  0.2503  0.8118 [8 per cell]
Ir  0.0000  0.0000  0.0000 [4 per cell]
Ir  0.0000  0.2495  0.2500 [4 per cell]
Ir  0.0000  0.5000  0.0000 [4 per cell]
Ir  0.2500  0.2500  0.5000 [4 per cell]

Output
ΔE to the lowest computed polymorph = 0.00 eV/f.u.

Entry 2:
Na2Pb3Au | PBE | relaxed

Unit cell a=3.3687 b=5.1529 c=9.4757 alpha=90.00 beta=90.00 gamma=90.00
Space group Pmm2 (No. 25)
One atom of each set of equivalent atoms:
Na  0.0000  0.0000  0.0000 [1 per cell]
Na  0.0000  0.5000  0.4512 [1 per cell]
Pb  0.5000  0.0000  0.6085 [1 per cell]
Pb  0.5000  0.5000  0.1538 [1 per cell]
Pb  0.5000  0.5000  0.8063 [1 per cell]
Au  0.5000  0.0000  0.2996 [1 per cell]

Output
E_tot = -2.978 eV/atom

Across the entries above, DOS at the Fermi energy takes the values 7.16, 1.40 states/eV/f.u., respectively.